(1)
Below is a relaxed structure of CsSc3Sn, with properties calculated at the PBE level. Values from VASP.

Computed properties:
SG: Pm-3m (221)
Energy of formation: 2.5 eV per formula unit
ΔE to the lowest computed polymorph: 0.0000 eV per atom

```
&SYSTEM
  ibrav = 0, nat = 5, ntyp = 3
/
ATOMIC_SPECIES
Cs 132.91 Cs.upf
Sc 44.96 Sc.upf
Sn 118.71 Sn.upf
ATOMIC_POSITIONS angstrom
Cs 0.000 0.000 0.000
Sc 0.000 2.832 2.832
Sc 2.832 0.000 2.832
Sc 2.832 2.832 0.000
Sn 2.832 2.832 2.832
CELL_PARAMETERS angstrom
5.664 0.000 0.000
0.000 5.664 0.000
0.000 0.000 5.664
```

---

(2)
Below is a relaxed structure of Ag3OsBr2Cl6, with properties calculated at the PBE level. Values from VASP.

Computed properties:
SG: C2/m (12)
E_form (uncorrected): -0.3943 eV per atom

```
&SYSTEM
  ibrav = 0, nat = 12, ntyp = 4
/
ATOMIC_SPECIES
Ag 107.87 Ag.upf
Os 190.23 Os.upf
Br 79.90 Br.upf
Cl 35.45 Cl.upf
ATOMIC_POSITIONS angstrom
Ag 0.000 0.000 0.000
Ag 3.119 1.893 2.976
Ag 3.119 -1.893 2.976
Os 6.697 0.000 2.976
Br 2.300 0.000 1.307
Br 11.093 0.000 4.645
Cl 5.755 1.658 1.635
Cl 7.638 1.658 4.317
Cl 4.759 0.000 4.279
Cl 8.634 0.000 1.673
Cl 5.755 -1.658 1.635
Cl 7.638 -1.658 4.317
CELL_PARAMETERS angstrom
7.155 -3.786 0.000
7.155 3.786 0.000
-0.917 0.000 5.952
```

---

(3)
Below is a relaxed structure of CsNiRu3, with properties calculated at the PBE level. Values from VASP.

Computed properties:
SG: Pm-3m (221)
Energy of formation: 15.6 eV per formula unit
ΔE to the lowest computed polymorph: 1.2867 eV per atom

```
&SYSTEM
  ibrav = 0, nat = 5, ntyp = 3
/
ATOMIC_SPECIES
Cs 132.91 Cs.upf
Ni 58.69 Ni.upf
Ru 101.07 Ru.upf
ATOMIC_POSITIONS angstrom
Cs 0.000 0.000 0.000
Ni 2.435 2.435 2.435
Ru 0.000 0.000 2.435
Ru 0.000 2.435 0.000
Ru 2.435 0.000 0.000
CELL_PARAMETERS angstrom
4.871 0.000 0.000
0.000 4.871 0.000
0.000 0.000 4.871
```

---

(4)
Below is a relaxed structure of NaScZn2, with properties calculated at the PBE level. Values from VASP.

Computed properties:
SG: I-42d (122)
Energy of formation: 1.0 eV per formula unit
ΔE to the lowest computed polymorph: 0.3357 eV per atom

```
&SYSTEM
  ibrav = 0, nat = 16, ntyp = 3
/
ATOMIC_SPECIES
Na 22.99 Na.upf
Sc 44.96 Sc.upf
Zn 65.41 Zn.upf
ATOMIC_POSITIONS angstrom
Na 0.000 0.000 0.000
Na 0.000 3.813 1.515
Na 3.813 0.000 4.545
Na 3.813 3.813 3.030
Sc 0.000 0.000 3.030
Sc 0.000 3.813 4.545
Sc 3.813 0.000 1.515
Sc 3.813 3.813 0.000
Zn 1.864 1.906 3.788
Zn 1.906 5.676 5.303
Zn 1.906 5.761 2.273
Zn 1.949 1.906 0.758
Zn 5.676 5.719 0.758
Zn 5.719 1.864 2.273
Zn 5.719 1.949 5.303
Zn 5.761 5.719 3.788
CELL_PARAMETERS angstrom
7.625 0.000 0.000
0.000 7.625 0.000
0.000 0.000 6.060
```

---

(5)
Below is a relaxed structure of Nb2GaF11, with properties calculated at the PBE level. Values from VASP.

Computed properties:
SG: Ibam (72)
E_form (uncorrected): -2.8093 eV per atom

```
&SYSTEM
  ibrav = 0, nat = 28, ntyp = 3
/
ATOMIC_SPECIES
Nb 92.91 Nb.upf
Ga 69.72 Ga.upf
F 19.00 F.upf
ATOMIC_POSITIONS angstrom
Nb 0.864 1.932 0.000
Nb 4.993 3.339 0.000
Nb -0.864 1.932 5.577
Nb 3.264 3.339 5.577
Ga 4.129 0.000 2.788
Ga 0.000 5.271 2.788
F 0.000 0.000 0.000
F 6.360 -1.056 1.357
F 4.959 1.931 -1.320
F 4.959 -1.931 4.256
F 3.058 -3.097 5.577
F 1.897 1.056 1.357
F 1.897 -1.056 4.220
F 3.058 3.097 0.000
F 4.959 1.931 1.320
F 0.830 3.340 1.320
F 2.231 6.327 -1.357
F 0.000 0.000 5.577
F 1.897 -1.056 6.934
F 3.299 1.931 4.256
F -0.830 3.340 4.256
F 1.070 2.173 5.577
F 2.231 6.327 1.357
F 2.231 4.215 4.220
F 1.070 8.368 0.000
F -0.830 7.202 1.320
F -0.830 3.340 6.897
F -2.231 6.327 4.220
CELL_PARAMETERS angstrom
-4.129 5.271 5.577
4.129 -5.271 5.577
4.129 5.271 -5.577
```

---

(6)
Below is a relaxed structure of RbSrBr, with properties calculated at the PBE level. Values from VASP.

Computed properties:
SG: P-3m1 (164)
E_form (uncorrected): -0.9684 eV per atom
ΔE to the lowest computed polymorph: 0.0062 eV per atom

```
&SYSTEM
  ibrav = 0, nat = 12, ntyp = 3
/
ATOMIC_SPECIES
Rb 85.47 Rb.upf
Sr 87.62 Sr.upf
Br 79.90 Br.upf
ATOMIC_POSITIONS angstrom
Rb 0.000 2.565 10.232
Rb 0.000 2.565 14.768
Rb 2.221 1.283 19.156
Rb 2.221 1.283 23.691
Sr 0.000 2.565 27.512
Sr 0.000 2.565 32.272
Sr 2.221 1.283 1.651
Sr 2.221 1.283 6.412
Br 0.000 2.565 4.149
Br 0.000 2.565 21.418
Br 2.221 1.283 12.505
Br 2.221 1.283 29.775
CELL_PARAMETERS angstrom
4.443 0.000 0.000
-2.221 3.848 0.000
0.000 0.000 33.924
```

---

(7)
Below is a relaxed structure of K2SbBr, with properties calculated at the PBE level. Values from VASP.

Computed properties:
SG: I-42d (122)
E_form (uncorrected): -0.5842 eV per atom
ΔE to the lowest computed polymorph: 0.3235 eV per atom

```
&SYSTEM
  ibrav = 0, nat = 16, ntyp = 3
/
ATOMIC_SPECIES
K 39.10 K.upf
Sb 121.76 Sb.upf
Br 79.90 Br.upf
ATOMIC_POSITIONS angstrom
K 2.001 2.312 0.907
K 2.312 6.626 2.720
K 2.312 7.248 6.346
K 2.623 2.312 4.533
K 6.626 6.937 4.533
K 6.937 2.001 6.346
K 6.937 2.623 2.720
K 7.248 6.937 0.907
Sb 0.000 0.000 3.626
Sb 0.000 4.625 5.439
Sb 4.625 0.000 1.813
Sb 4.625 4.625 0.000
Br 0.000 0.000 0.000
Br 0.000 4.625 1.813
Br 4.625 0.000 5.439
Br 4.625 4.625 3.626
CELL_PARAMETERS angstrom
9.249 0.000 0.000
0.000 9.249 0.000
0.000 0.000 7.252
```

---

(8)
Below is a relaxed structure of Y2AgBr, with properties calculated at the PBE level. Values from VASP.

Computed properties:
SG: P4mm (99)
E_form (uncorrected): -0.4957 eV per atom
ΔE to the lowest computed polymorph: 0.1061 eV per atom

```
&SYSTEM
  ibrav = 0, nat = 4, ntyp = 3
/
ATOMIC_SPECIES
Y 88.91 Y.upf
Ag 107.87 Ag.upf
Br 79.90 Br.upf
ATOMIC_POSITIONS angstrom
Y 0.000 0.000 0.000
Y 1.832 1.832 2.499
Ag 0.000 0.000 4.200
Br 1.832 1.832 7.291
CELL_PARAMETERS angstrom
3.664 0.000 0.000
0.000 3.664 0.000
0.000 0.000 8.881
```

---

(9)
Below is a relaxed structure of BeCr2Ir, with properties calculated at the PBE level. Values from VASP.

Computed properties:
SG: P4/mmm (123)
Energy of formation: -0.3 eV per formula unit

```
&SYSTEM
  ibrav = 0, nat = 4, ntyp = 3
/
ATOMIC_SPECIES
Be 9.01 Be.upf
Cr 52.00 Cr.upf
Ir 192.22 Ir.upf
ATOMIC_POSITIONS angstrom
Be 0.000 0.000 0.000
Cr 0.000 1.684 2.047
Cr 1.684 0.000 2.047
Ir 1.684 1.684 0.000
CELL_PARAMETERS angstrom
3.367 0.000 0.000
0.000 3.367 0.000
0.000 0.000 4.093
```

---

(10)
Below is a relaxed structure of LiTmZn2, with properties calculated at the PBE level. Values from VASP.

Computed properties:
SG: Fm-3m (225)
Energy of formation: -0.9 eV per formula unit
ΔE to the lowest computed polymorph: 0.0000 eV per atom

```
&SYSTEM
  ibrav = 0, nat = 16, ntyp = 3
/
ATOMIC_SPECIES
Li 6.94 Li.upf
Tm 168.93 Tm.upf
Zn 65.41 Zn.upf
ATOMIC_POSITIONS angstrom
Li 0.000 0.000 0.000
Li 0.000 3.342 3.342
Li 3.342 0.000 3.342
Li 3.342 3.342 0.000
Tm 0.000 0.000 3.342
Tm 0.000 3.342 0.000
Tm 3.342 0.000 0.000
Tm 3.342 3.342 3.342
Zn 1.671 1.671 1.671
Zn 1.671 1.671 5.013
Zn 1.671 5.013 1.671
Zn 1.671 5.013 5.013
Zn 5.013 1.671 1.671
Zn 5.013 1.671 5.013
Zn 5.013 5.013 1.671
Zn 5.013 5.013 5.013
CELL_PARAMETERS angstrom
6.683 0.000 0.000
0.000 6.683 0.000
0.000 0.000 6.683
```

---

(11)
Below is a relaxed structure of BiP2PbO, with properties calculated at the PBE level. Values from VASP.

Computed properties:
SG: P4/mmm (123)
E_form (uncorrected): 0.4588 eV per atom
ΔE to the lowest computed polymorph: 0.0000 eV per atom

```
&SYSTEM
  ibrav = 0, nat = 5, ntyp = 4
/
ATOMIC_SPECIES
Bi 208.98 Bi.upf
P 30.97 P.upf
Pb 207.20 Pb.upf
O 16.00 O.upf
ATOMIC_POSITIONS angstrom
Bi 0.000 0.000 0.000
P 0.000 2.761 0.000
P 2.761 0.000 0.000
Pb 2.761 2.761 2.167
O 0.000 0.000 2.167
CELL_PARAMETERS angstrom
5.522 0.000 0.000
0.000 5.522 0.000
0.000 0.000 4.335
```

---

(12)
Below is a relaxed structure of Sr3TaS, with properties calculated at the PBE level. Values from VASP.

Computed properties:
SG: Pm-3m (221)
E_form (uncorrected): 0.8557 eV per atom
ΔE to the lowest computed polymorph: 0.7762 eV per atom

```
&SYSTEM
  ibrav = 0, nat = 5, ntyp = 3
/
ATOMIC_SPECIES
Sr 87.62 Sr.upf
Ta 180.95 Ta.upf
S 32.06 S.upf
ATOMIC_POSITIONS angstrom
Sr 0.000 0.000 2.862
Sr 0.000 2.862 0.000
Sr 2.862 0.000 0.000
Ta 0.000 0.000 0.000
S 2.862 2.862 2.862
CELL_PARAMETERS angstrom
5.725 0.000 0.000
0.000 5.725 0.000
0.000 0.000 5.725
```

---

(13)
Below is a relaxed structure of MgCuTcSnOsC, with properties calculated at the PBE level. Values from VASP.

Computed properties:
SG: Cm (8)
Energy of formation: 1.6 eV per formula unit
ΔE to the lowest computed polymorph: 0.0444 eV per atom

```
&SYSTEM
  ibrav = 0, nat = 12, ntyp = 6
/
ATOMIC_SPECIES
Mg 24.30 Mg.upf
Cu 63.55 Cu.upf
Tc 98.00 Tc.upf
Sn 118.71 Sn.upf
Os 190.23 Os.upf
C 12.01 C.upf
ATOMIC_POSITIONS angstrom
Mg 0.000 0.000 0.000
Mg 4.823 2.167 0.000
Cu 0.321 0.000 4.463
Cu 5.143 2.167 4.463
Tc 1.765 2.167 0.854
Tc 6.588 0.000 0.854
Sn -0.280 2.167 2.659
Sn 4.543 0.000 2.659
Os 1.806 0.000 2.273
Os 6.629 2.167 2.273
C -2.262 2.167 4.070
C 2.560 0.000 4.070
CELL_PARAMETERS angstrom
9.645 0.000 0.000
0.000 4.334 0.000
-2.707 0.000 4.578
```

---

(14)
Below is a relaxed structure of LuCuRu, with properties calculated at the PBE level. Values from VASP.

Computed properties:
SG: P-6m2 (187)
Energy of formation: -0.5 eV per formula unit
ΔE to the lowest computed polymorph: 0.0000 eV per atom

```
&SYSTEM
  ibrav = 0, nat = 3, ntyp = 3
/
ATOMIC_SPECIES
Lu 174.97 Lu.upf
Cu 63.55 Cu.upf
Ru 101.07 Ru.upf
ATOMIC_POSITIONS angstrom
Lu 0.000 0.000 0.000
Cu 0.000 2.450 1.704
Ru 2.121 1.225 1.704
CELL_PARAMETERS angstrom
4.243 0.000 0.000
-2.121 3.674 0.000
0.000 0.000 3.408
```